Density functional theory data (GGA-PBE) for an optimized crystal structure of Er3Cd2Pd8.

abc: 5.3949 5.3949 10.5659
angles: 75.21 75.21 60.00
Element x y z (fractional)
Er (0.0000, 0.0000, 0.0000)
Pd (0.7756, 0.2712, 0.6819)
Er (0.1894, 0.1894, 0.4316)
Cd (0.6343, 0.6343, 0.0970)
Pd (0.2244, 0.7288, 0.3181)
Pd (0.2797, 0.2797, 0.1608)
Pd (0.7203, 0.7203, 0.8392)
Pd (0.7288, 0.7288, 0.3181)
Pd (0.2712, 0.7756, 0.6819)
Er (0.8106, 0.8106, 0.5684)
Pd (0.2712, 0.2712, 0.6819)
Cd (0.3657, 0.3657, 0.9030)
Pd (0.7288, 0.2244, 0.3181)

Values from the calculation:
crystal system	trigonal
DFT formation energy	-0.531	eV/atom